VASP calculation (GGA+U) on a geometry-optimized BaVIO2 structure.

Calculated values
E (eV per cell): -26.92
ΔE to the lowest computed polymorph (eV per formula unit): 3.95

Cell: 4.411 4.411 5.289 Å, 90.00 90.00 90.00°
Fractional coordinates of all 5 atoms:
Ba  0.000  0.000  0.000
V  0.500  0.500  0.500
I  0.500  0.500  0.000
O  0.000  0.500  0.500
O  0.500  0.000  0.500